Record 1
Below is an optimized crystal structure of Os2SeCl, with properties calculated at the PBE level.

Computed properties:
Spin magnetization   0.00 μB/cell
Offset from the most stable computed form   681.5 meV/atom
Formation energy from raw total energies   0.905 eV/atom
E_tot   -72.51 eV per cell

Cell and atoms, written as CIF:
```
data_Os2SeCl
_cell_length_a 2.9975
_cell_length_b 2.9975
_cell_length_c 23.9498
_cell_angle_alpha 90.00
_cell_angle_beta 90.00
_cell_angle_gamma 120.00
_symmetry_space_group_name_H-M 'R -3 m'
_symmetry_Int_Tables_number 166
_symmetry_space_group_name_Hall '-R 3 2"'
loop_
_atom_site_label
_atom_site_type_symbol
_atom_site_fract_x
_atom_site_fract_y
_atom_site_fract_z
Os1 Os 0.0000 0.0000 0.2443
Se1 Se 0.0000 0.0000 0.5000
Cl1 Cl 0.0000 0.0000 0.0000
```

---

Record 2
Below is an optimized crystal structure of ZnTcPCl2, with properties calculated at the PBE level.

Computed properties:
Spin magnetization   1.42 μB/cell
Offset from the most stable computed form   0.0 meV/atom
Formation energy from raw total energies   0.179 eV/atom
E_tot   -19.85 eV per cell

Cell and atoms, written as CIF:
```
data_ZnTcPCl2
_cell_length_a 4.9200
_cell_length_b 4.9200
_cell_length_c 4.6159
_cell_angle_alpha 90.00
_cell_angle_beta 90.00
_cell_angle_gamma 90.00
_symmetry_space_group_name_H-M 'P 4/m m m'
_symmetry_Int_Tables_number 123
_symmetry_space_group_name_Hall '-P 4 2'
loop_
_atom_site_label
_atom_site_type_symbol
_atom_site_fract_x
_atom_site_fract_y
_atom_site_fract_z
Zn1 Zn 0.0000 0.0000 0.0000
Tc1 Tc 0.5000 0.5000 0.5000
P1 P 0.5000 0.5000 0.0000
Cl1 Cl 0.0000 0.5000 0.5000
```

---

Record 3
Below is an optimized crystal structure of BaBr2, with properties calculated at the PBE level.

Computed properties:
Spin magnetization   0.00 μB/cell
Formation energy from raw total energies   -2.022 eV/atom
E_tot   -22.67 eV per cell

Cell and atoms, written as CIF:
```
data_BaBr2
_cell_length_a 4.3197
_cell_length_b 4.3197
_cell_length_c 10.7526
_cell_angle_alpha 90.00
_cell_angle_beta 90.00
_cell_angle_gamma 90.00
_symmetry_space_group_name_H-M 'I 4/m m m'
_symmetry_Int_Tables_number 139
_symmetry_space_group_name_Hall '-I 4 2'
loop_
_atom_site_label
_atom_site_type_symbol
_atom_site_fract_x
_atom_site_fract_y
_atom_site_fract_z
Ba1 Ba 0.0000 0.0000 0.0000
Br1 Br 0.0000 0.0000 0.3448
```

---

Record 4
Below is an optimized crystal structure of LiTmPaS4, with properties calculated at the PBE level.

Computed properties:
Spin magnetization   4.09 μB/cell
Formation energy from raw total energies   -1.720 eV/atom
E_tot   -177.72 eV per cell

Cell and atoms, written as CIF:
```
data_LiTmPaS4
_cell_length_a 7.8171
_cell_length_b 8.0249
_cell_length_c 11.1914
_cell_angle_alpha 90.00
_cell_angle_beta 90.00
_cell_angle_gamma 90.00
_symmetry_space_group_name_H-M 'I m m a'
_symmetry_Int_Tables_number 74
_symmetry_space_group_name_Hall '-I 2b 2'
loop_
_atom_site_label
_atom_site_type_symbol
_atom_site_fract_x
_atom_site_fract_y
_atom_site_fract_z
Li1 Li 0.0000 0.2500 0.1322
Tm1 Tm 0.2500 0.2500 0.7500
Pa1 Pa 0.0000 0.0000 0.5000
S1 S 0.0000 0.0159 0.7419
S2 S 0.2380 0.2500 0.5074
```

---

Record 5
Below is an optimized crystal structure of InOsW, with properties calculated at the PBE level.

Computed properties:
Spin magnetization   0.00 μB/cell
Offset from the most stable computed form   263.8 meV/atom
E_tot   -101.14 eV per cell
Calculated formation energy   0.546 eV per atom

Cell and atoms, written as CIF:
```
data_InOsW
_cell_length_a 3.0353
_cell_length_b 4.8441
_cell_length_c 14.0592
_cell_angle_alpha 90.00
_cell_angle_beta 90.00
_cell_angle_gamma 90.00
_symmetry_space_group_name_H-M 'F m m 2'
_symmetry_Int_Tables_number 42
_symmetry_space_group_name_Hall 'F 2 -2'
loop_
_atom_site_label
_atom_site_type_symbol
_atom_site_fract_x
_atom_site_fract_y
_atom_site_fract_z
In1 In 0.0000 0.0000 0.0000
Os1 Os 0.0000 0.0000 0.3282
W1 W 0.0000 0.0000 0.6785
```

---

Record 6
Below is an optimized crystal structure of SmTm4Te5, with properties calculated at the PBE level.

Computed properties:
Spin magnetization   0.00 μB/cell
Formation energy from raw total energies   -1.214 eV/atom
E_tot   -100.91 eV per cell

Cell and atoms, written as CIF:
```
data_SmTm4Te5
_cell_length_a 14.4841
_cell_length_b 4.3207
_cell_length_c 10.5504
_cell_angle_alpha 90.00
_cell_angle_beta 119.55
_cell_angle_gamma 90.00
_symmetry_space_group_name_H-M 'C 1 2/m 1'
_symmetry_Int_Tables_number 12
_symmetry_space_group_name_Hall '-C 2y'
loop_
_atom_site_label
_atom_site_type_symbol
_atom_site_fract_x
_atom_site_fract_y
_atom_site_fract_z
Sm1 Sm 0.0000 0.0000 0.0000
Tm1 Tm 0.0975 0.5000 0.3918
Tm2 Tm 0.2060 0.0000 0.8002
Te1 Te 0.0000 0.0000 0.5000
Te2 Te 0.1057 0.5000 0.8956
Te3 Te 0.2044 0.0000 0.3090
```